[1]
The following is a PBE with a Hubbard U calculation of a relaxed Mn2OF3 crystal, from Alexandria via LeMat-Bulk.

Values from the calculation:
* crystal system: orthorhombic
* offset from the most stable computed form: 26 meV per atom
* space-group type: Cmmm (65)
* V: 12.6 A^3/atom
* DOS(E_F): 0.42 states/eV/f.u.

Lattice parameters (Å, degrees): 7.3951 7.3951 7.1180 90.00 90.00 128.83
Fractional positions:
Mn: 0.0000 0.0000 0.0000
Mn: 0.0000 0.5000 0.0000
Mn: 0.2361 0.2361 0.5000
Mn: 0.2417 0.7583 0.5000
Mn: 0.5000 0.0000 0.0000
Mn: 0.5000 0.5000 0.0000
Mn: 0.7583 0.2417 0.5000
Mn: 0.7639 0.7639 0.5000
O: 0.0921 0.9079 0.5000
O: 0.3454 0.6546 0.0000
O: 0.6546 0.3454 0.0000
O: 0.9079 0.0921 0.5000
F: 0.0000 0.5000 0.3034
F: 0.0000 0.5000 0.6966
F: 0.1526 0.8474 0.0000
F: 0.2562 0.2562 0.1949
F: 0.2562 0.2562 0.8051
F: 0.4047 0.5953 0.5000
F: 0.5000 0.0000 0.3034
F: 0.5000 0.0000 0.6966
F: 0.5953 0.4047 0.5000
F: 0.7438 0.7438 0.1949
F: 0.7438 0.7438 0.8051
F: 0.8474 0.1526 0.0000

[2]
The following is a PBE with a Hubbard U calculation of a relaxed Mn2O2F crystal, from Alexandria via LeMat-Bulk.

Values from the calculation:
* crystal system: monoclinic
* space-group type: C2/m (12)
* V: 15.6 A^3/atom
* calculated total energy: -7.209 eV per atom
* DOS(E_F): 1.23 states/eV/f.u.

Lattice parameters (Å, degrees): 5.6192 5.6192 3.7520 95.97 95.97 41.43
Fractional positions:
Mn: 0.1848 0.1848 0.2279
Mn: 0.8152 0.8152 0.7721
O: 0.2703 0.2703 0.7488
O: 0.7297 0.7297 0.2512
F: 0.0000 0.0000 0.0000

[3]
The following is a PBE with a Hubbard U calculation of a relaxed Mn3OF5 crystal, from Alexandria via LeMat-Bulk.

Values from the calculation:
* crystal system: monoclinic
* offset from the most stable computed form: 22 meV per atom
* space-group type: Cm (8)
* V: 13.0 A^3/atom
* DOS(E_F): 1.89 states/eV/f.u.

Lattice parameters (Å, degrees): 5.8825 5.8825 7.5026 106.29 106.29 73.79
Fractional positions:
Mn: 0.0000 0.0000 0.0000
Mn: 0.0020 0.0020 0.5190
Mn: 0.3430 0.3430 0.8412
Mn: 0.3546 0.3546 0.3408
Mn: 0.6693 0.6693 0.1890
Mn: 0.6833 0.6833 0.6636
O: 0.5855 0.5855 0.3918
O: 0.8942 0.8942 0.7082
F: 0.0387 0.6467 0.3330
F: 0.1124 0.1124 0.3118
F: 0.2355 0.2355 0.0443
F: 0.3094 0.7024 0.0215
F: 0.3649 0.9801 0.6801
F: 0.4619 0.4619 0.6499
F: 0.6467 0.0387 0.3330
F: 0.7024 0.3094 0.0215
F: 0.7565 0.7565 0.9644
F: 0.9801 0.3649 0.6801

[4]
The following is a PBE with a Hubbard U calculation of a relaxed Mn2O3F crystal, from Alexandria via LeMat-Bulk.

Values from the calculation:
* crystal system: monoclinic
* offset from the most stable computed form: 5 meV per atom
* space-group type: C2 (5)
* V: 10.6 A^3/atom
* DOS(E_F): 1.25 states/eV/f.u.

Lattice parameters (Å, degrees): 5.4821 5.4821 7.0278 106.28 106.28 74.31
Fractional positions:
Mn: 0.0000 0.0000 0.0000
Mn: 0.2846 0.3820 0.3345
Mn: 0.3049 0.3626 0.8346
Mn: 0.6180 0.7154 0.6655
Mn: 0.6374 0.6951 0.1654
Mn: 0.9890 0.0110 0.5000
O: 0.0735 0.1272 0.2956
O: 0.2126 0.2507 0.0417
O: 0.2862 0.7138 0.0000
O: 0.3342 0.0084 0.6694
O: 0.3954 0.4771 0.6285
O: 0.5229 0.6046 0.3715
O: 0.7493 0.7874 0.9583
O: 0.8728 0.9265 0.7044
O: 0.9916 0.6658 0.3306
F: 0.6054 0.0824 0.3450
F: 0.6959 0.3041 0.0000
F: 0.9176 0.3946 0.6550

[5]
The following is a PBE with a Hubbard U calculation of a relaxed Mn2OF crystal, from Alexandria via LeMat-Bulk.

Values from the calculation:
* crystal system: cubic
* offset from the most stable computed form: 542 meV per atom
* space-group type: Fm-3m (225)
* V: 11.9 A^3/atom
* DOS(E_F): 3.28 states/eV/f.u.

Lattice parameters (Å, degrees): 4.0673 4.0673 4.0673 60.00 60.00 60.00
Fractional positions:
Mn: 0.2500 0.2500 0.2500
Mn: 0.7500 0.7500 0.7500
O: 0.0000 0.0000 0.0000
F: 0.5000 0.5000 0.5000

[6]
The following is a PBE with a Hubbard U calculation of a relaxed Mn2O3F crystal, from Alexandria via LeMat-Bulk.

Values from the calculation:
* crystal system: monoclinic
* offset from the most stable computed form: 29 meV per atom
* space-group type: P2_1/c (14)
* V: 10.6 A^3/atom
* DOS(E_F): 0.33 states/eV/f.u.

Lattice parameters (Å, degrees): 5.5289 4.5494 10.1928 90.00 96.47 90.00
Fractional positions:
Mn: 0.0000 0.0000 0.0000
Mn: 0.0000 0.5000 0.5000
Mn: 0.2450 0.0255 0.7392
Mn: 0.2450 0.4745 0.2392
Mn: 0.5000 0.0000 0.5000
Mn: 0.5000 0.5000 0.0000
Mn: 0.7550 0.5255 0.7608
Mn: 0.7550 0.9745 0.2608
O: 0.0049 0.7223 0.6716
O: 0.0049 0.7777 0.1716
O: 0.2311 0.2067 0.5749
O: 0.2311 0.2933 0.0749
O: 0.5004 0.2076 0.3314
O: 0.5004 0.2924 0.8314
O: 0.4996 0.7076 0.1686
O: 0.4996 0.7924 0.6686
O: 0.7689 0.7067 0.9251
O: 0.7689 0.7933 0.4251
O: 0.9951 0.2223 0.8284
O: 0.9951 0.2777 0.3284
F: 0.2730 0.6928 0.4052
F: 0.2730 0.8072 0.9052
F: 0.7270 0.1928 0.0948
F: 0.7270 0.3072 0.5948